LaTi2AgC: relaxed, GGA-PBEsol.

Geometry as CIF:
```
data_LaTi2AgC
_chemical_formula_sum 'La1 Ti2 Ag1 C1'
_symmetry_space_group_name_H-M 'P 4/m m m'
_symmetry_Int_Tables_number 123
_symmetry_space_group_name_Hall '-P 4 2'
_cell_length_a 4.729
_cell_length_b 4.729
_cell_length_c 5.228
_cell_angle_alpha 90.00
_cell_angle_beta 90.00
_cell_angle_gamma 90.00
loop_
_atom_site_label
_atom_site_type_symbol
_atom_site_fract_x
_atom_site_fract_y
_atom_site_fract_z
_atom_site_occupancy
La1 La 0.000 0.000 0.000 1
Ti1 Ti 0.000 0.500 0.000 1
Ag1 Ag 0.000 0.000 0.500 1
C1 C 0.500 0.500 0.500 1
```

Calculated values
D(E_F) (states/eV per cell): 5.0
ΔH_f (0 K) (eV per atom): 2.74
Mass density (g/cm³): 5.04

***

LiAg2C2: relaxed, GGA-PBEsol.

Geometry as CIF:
```
data_LiAg2C2
_chemical_formula_sum 'Li2 Ag4 C4'
_symmetry_space_group_name_H-M 'P 4/m b m'
_symmetry_Int_Tables_number 127
_symmetry_space_group_name_Hall '-P 4 2ab'
_cell_length_a 5.590
_cell_length_b 5.590
_cell_length_c 4.056
_cell_angle_alpha 90.00
_cell_angle_beta 90.00
_cell_angle_gamma 90.00
loop_
_atom_site_label
_atom_site_type_symbol
_atom_site_fract_x
_atom_site_fract_y
_atom_site_fract_z
_atom_site_occupancy
Li1 Li 0.000 0.000 0.000 1
Ag1 Ag 0.185 0.315 0.500 1
C1 C 0.082 0.418 0.000 1
```

Calculated values
D(E_F) (states/eV per cell): 1.2
ΔH_f (0 K) (eV per atom): 0.59
Mass density (g/cm³): 6.46

***

SrMgAgC2: relaxed, GGA-PBEsol.

Geometry as CIF:
```
data_SrMgAgC2
_chemical_formula_sum 'Sr1 Mg1 Ag1 C2'
_symmetry_space_group_name_H-M 'P 4/m m m'
_symmetry_Int_Tables_number 123
_symmetry_space_group_name_Hall '-P 4 2'
_cell_length_a 4.248
_cell_length_b 4.248
_cell_length_c 5.281
_cell_angle_alpha 90.00
_cell_angle_beta 90.00
_cell_angle_gamma 90.00
loop_
_atom_site_label
_atom_site_type_symbol
_atom_site_fract_x
_atom_site_fract_y
_atom_site_fract_z
_atom_site_occupancy
Sr1 Sr 0.000 0.000 0.000 1
Mg1 Mg 0.000 0.000 0.500 1
Ag1 Ag 0.500 0.500 0.000 1
C1 C 0.000 0.500 0.500 1
```

Calculated values
D(E_F) (states/eV per cell): 2.5
ΔH_f (0 K) (eV per atom): 2.02
Mass density (g/cm³): 4.25

***

Nb2AgMoC: relaxed, GGA-PBEsol.

Geometry as CIF:
```
data_Nb2AgMoC
_chemical_formula_sum 'Nb2 Ag1 Mo1 C1'
_symmetry_space_group_name_H-M 'P 4/m m m'
_symmetry_Int_Tables_number 123
_symmetry_space_group_name_Hall '-P 4 2'
_cell_length_a 4.308
_cell_length_b 4.308
_cell_length_c 4.059
_cell_angle_alpha 90.00
_cell_angle_beta 90.00
_cell_angle_gamma 90.00
loop_
_atom_site_label
_atom_site_type_symbol
_atom_site_fract_x
_atom_site_fract_y
_atom_site_fract_z
_atom_site_occupancy
Nb1 Nb 0.000 0.500 0.000 1
Ag1 Ag 0.000 0.000 0.500 1
Mo1 Mo 0.500 0.500 0.500 1
C1 C 0.000 0.000 0.000 1
```

Calculated values
D(E_F) (states/eV per cell): 4.2
ΔH_f (0 K) (eV per atom): 0.38
Mass density (g/cm³): 8.85

***

TcAg2MoC: relaxed, GGA-PBEsol.

Geometry as CIF:
```
data_TcAg2MoC
_chemical_formula_sum 'Tc1 Ag2 Mo1 C1'
_symmetry_space_group_name_H-M 'P 4/m m m'
_symmetry_Int_Tables_number 123
_symmetry_space_group_name_Hall '-P 4 2'
_cell_length_a 4.150
_cell_length_b 4.150
_cell_length_c 4.140
_cell_angle_alpha 90.00
_cell_angle_beta 90.00
_cell_angle_gamma 90.00
loop_
_atom_site_label
_atom_site_type_symbol
_atom_site_fract_x
_atom_site_fract_y
_atom_site_fract_z
_atom_site_occupancy
Tc1 Tc 0.000 0.000 0.000 1
Ag1 Ag 0.000 0.500 0.500 1
Mo1 Mo 0.500 0.500 0.000 1
C1 C 0.500 0.500 0.500 1
```

Calculated values
D(E_F) (states/eV per cell): 3.8
ΔH_f (0 K) (eV per atom): 1.04
Mass density (g/cm³): 9.82

***

AgTeMo2C: relaxed, GGA-PBEsol.

Geometry as CIF:
```
data_AgTeMo2C
_chemical_formula_sum 'Ag1 Te1 Mo2 C1'
_symmetry_space_group_name_H-M 'P 4/m m m'
_symmetry_Int_Tables_number 123
_symmetry_space_group_name_Hall '-P 4 2'
_cell_length_a 5.038
_cell_length_b 5.038
_cell_length_c 3.685
_cell_angle_alpha 90.00
_cell_angle_beta 90.00
_cell_angle_gamma 90.00
loop_
_atom_site_label
_atom_site_type_symbol
_atom_site_fract_x
_atom_site_fract_y
_atom_site_fract_z
_atom_site_occupancy
Ag1 Ag 0.000 0.000 0.000 1
Te1 Te 0.500 0.500 0.500 1
Mo1 Mo 0.000 0.500 0.000 1
C1 C 0.000 0.000 0.500 1
```

Calculated values
D(E_F) (states/eV per cell): 5.3
Mass density (g/cm³): 7.80
Formation energy (no corrections) (eV/atom): 2.136

***

NbAg2CN: relaxed, GGA-PBEsol.

Geometry as CIF:
```
data_NbAg2CN
_chemical_formula_sum 'Nb1 Ag2 C1 N1'
_symmetry_space_group_name_H-M 'P 4/m m m'
_symmetry_Int_Tables_number 123
_symmetry_space_group_name_Hall '-P 4 2'
_cell_length_a 4.013
_cell_length_b 4.013
_cell_length_c 4.371
_cell_angle_alpha 90.00
_cell_angle_beta 90.00
_cell_angle_gamma 90.00
loop_
_atom_site_label
_atom_site_type_symbol
_atom_site_fract_x
_atom_site_fract_y
_atom_site_fract_z
_atom_site_occupancy
Nb1 Nb 0.000 0.000 0.000 1
Ag1 Ag 0.000 0.500 0.500 1
C1 C 0.000 0.000 0.500 1
N1 N 0.500 0.500 0.000 1
```

Calculated values
D(E_F) (states/eV per cell): 2.2
Mass density (g/cm³): 7.90
Formation energy (no corrections) (eV/atom): 1.202

***

Rb2AgC3S3N3: relaxed, GGA-PBEsol.

Geometry as CIF:
```
data_Rb2AgC3S3N3
_chemical_formula_sum 'Rb8 Ag4 C12 S12 N12'
_symmetry_space_group_name_H-M 'P 1 21/c 1'
_symmetry_Int_Tables_number 14
_cell_length_a 9.339
_cell_length_b 15.838
_cell_length_c 7.694
_cell_angle_alpha 90.00
_cell_angle_beta 107.92
_cell_angle_gamma 90.00
loop_
_symmetry_equiv_pos_as_xyz
'x,y,z'
'-x,-y,-z'
'-x,y+1/2,-z+1/2'
'x,-y+1/2,z+1/2'
loop_
_atom_site_label
_atom_site_type_symbol
_atom_site_fract_x
_atom_site_fract_y
_atom_site_fract_z
_atom_site_occupancy
Rb1 Rb 0.138 0.009 0.320 1
Rb2 Rb 0.309 0.155 0.953 1
Ag1 Ag 0.261 0.744 0.268 1
C1 C 0.008 0.187 0.575 1
C2 C 0.250 0.552 0.378 1
C3 C 0.441 0.152 0.491 1
S1 S 0.073 0.720 0.452 1
S2 S 0.348 0.595 0.258 1
S3 S 0.435 0.634 0.809 1
N1 N 0.069 0.120 0.596 1
N2 N 0.180 0.518 0.464 1
N3 N 0.348 0.163 0.348 1
```

Calculated values
D(E_F) (states/eV per cell): 0.0
Mass density (g/cm³): 2.78
Formation energy (no corrections) (eV/atom): -0.210

***

AgCSe2N: relaxed, GGA-PBEsol.

Geometry as CIF:
```
data_AgCSe2N
_chemical_formula_sum 'Ag1 C1 Se2 N1'
_symmetry_space_group_name_H-M 'P 4/m m m'
_symmetry_Int_Tables_number 123
_symmetry_space_group_name_Hall '-P 4 2'
_cell_length_a 5.033
_cell_length_b 5.033
_cell_length_c 3.818
_cell_angle_alpha 90.00
_cell_angle_beta 90.00
_cell_angle_gamma 90.00
loop_
_atom_site_label
_atom_site_type_symbol
_atom_site_fract_x
_atom_site_fract_y
_atom_site_fract_z
_atom_site_occupancy
Ag1 Ag 0.000 0.000 0.000 1
C1 C 0.500 0.500 0.500 1
Se1 Se 0.000 0.500 0.000 1
N1 N 0.000 0.000 0.500 1
```

Calculated values
D(E_F) (states/eV per cell): 3.5
Mass density (g/cm³): 5.01
Formation energy (no corrections) (eV/atom): 2.460

***

NaAgC2: relaxed, GGA-PBEsol.

Geometry as CIF:
```
data_NaAgC2
_chemical_formula_sum 'Na4 Ag4 C8'
_symmetry_space_group_name_H-M 'F m -3 m'
_symmetry_Int_Tables_number 225
_symmetry_space_group_name_Hall '-F 4 2 3'
_cell_length_a 5.637
_cell_length_b 5.637
_cell_length_c 5.637
_cell_angle_alpha 90.00
_cell_angle_beta 90.00
_cell_angle_gamma 90.00
loop_
_atom_site_label
_atom_site_type_symbol
_atom_site_fract_x
_atom_site_fract_y
_atom_site_fract_z
_atom_site_occupancy
Na1 Na 0.000 0.000 0.000 1
Ag1 Ag 0.000 0.000 0.500 1
C1 C 0.250 0.250 0.250 1
```

Calculated values
D(E_F) (states/eV per cell): 4.2
ΔH_f (0 K) (eV per atom): 2.10
Mass density (g/cm³): 5.74

***

NaYAg2C: relaxed, GGA-PBEsol.

Geometry as CIF:
```
data_NaYAg2C
_chemical_formula_sum 'Na1 Y1 Ag2 C1'
_symmetry_space_group_name_H-M 'P 4/m m m'
_symmetry_Int_Tables_number 123
_symmetry_space_group_name_Hall '-P 4 2'
_cell_length_a 5.598
_cell_length_b 5.598
_cell_length_c 4.333
_cell_angle_alpha 90.00
_cell_angle_beta 90.00
_cell_angle_gamma 90.00
loop_
_atom_site_label
_atom_site_type_symbol
_atom_site_fract_x
_atom_site_fract_y
_atom_site_fract_z
_atom_site_occupancy
Na1 Na 0.000 0.000 0.000 1
Y1 Y 0.500 0.500 0.500 1
Ag1 Ag 0.000 0.500 0.500 1
C1 C 0.500 0.500 0.000 1
```

Calculated values
D(E_F) (states/eV per cell): 4.6
ΔH_f (0 K) (eV per atom): 1.14
Mass density (g/cm³): 4.15

***

Nb2AgPbC: relaxed, GGA-PBEsol.

Geometry as CIF:
```
data_Nb2AgPbC
_chemical_formula_sum 'Nb2 Ag1 Pb1 C1'
_symmetry_space_group_name_H-M 'P 4/m m m'
_symmetry_Int_Tables_number 123
_symmetry_space_group_name_Hall '-P 4 2'
_cell_length_a 4.359
_cell_length_b 4.359
_cell_length_c 4.369
_cell_angle_alpha 90.00
_cell_angle_beta 90.00
_cell_angle_gamma 90.00
loop_
_atom_site_label
_atom_site_type_symbol
_atom_site_fract_x
_atom_site_fract_y
_atom_site_fract_z
_atom_site_occupancy
Nb1 Nb 0.000 0.500 0.000 1
Ag1 Ag 0.000 0.000 0.500 1
Pb1 Pb 0.500 0.500 0.500 1
C1 C 0.000 0.000 0.000 1
```

Calculated values
D(E_F) (states/eV per cell): 2.7
ΔH_f (0 K) (eV per atom): 0.25
Mass density (g/cm³): 10.26